Record 1
## Cd2SiSb (PBE-GGA)

Data for a relaxed Cd2SiSb crystal.

Results
Offset from the most stable computed form in kJ/mol of atoms: 8.3

```
data_Cd2SiSb
_chemical_formula_sum 'Cd4 Si2 Sb2'
_cell_length_a 4.2990
_cell_length_b 4.9624
_cell_length_c 8.6014
_cell_angle_alpha 90.00
_cell_angle_beta 90.00
_cell_angle_gamma 90.00
_symmetry_space_group_name_H-M 'C m m m'
_symmetry_Int_Tables_number 65
_symmetry_space_group_name_Hall '-C 2 2'
loop_
_atom_site_label
_atom_site_type_symbol
_atom_site_fract_x
_atom_site_fract_y
_atom_site_fract_z
Cd1 Cd 0.0000 0.0000 0.2181
Si1 Si 0.0000 0.5000 0.0000
Sb1 Sb 0.0000 0.5000 0.5000
```

=====

Record 2
## Cd2Si2Sb (PBE-GGA)

Data for a relaxed Cd2Si2Sb crystal.

Results
Offset from the most stable computed form in kJ/mol of atoms: 12.7

```
data_Cd2Si2Sb
_chemical_formula_sum 'Cd4 Si4 Sb2'
_cell_length_a 8.2244
_cell_length_b 8.2244
_cell_length_c 3.2044
_cell_angle_alpha 90.00
_cell_angle_beta 90.00
_cell_angle_gamma 90.00
_symmetry_space_group_name_H-M 'P 4/m b m'
_symmetry_Int_Tables_number 127
_symmetry_space_group_name_Hall '-P 4 2ab'
loop_
_atom_site_label
_atom_site_type_symbol
_atom_site_fract_x
_atom_site_fract_y
_atom_site_fract_z
Cd1 Cd 0.1254 0.3746 0.0000
Si1 Si 0.1803 0.6803 0.5000
Sb1 Sb 0.0000 0.0000 0.5000
```

=====

no.,DOS(E_F) (states/eV per cell),formation energy (no corrections) (eV per atom)
1,3.6,0.319
2,6.8,0.420